1.
Computed, not measured: KCdRe2 after structural relaxation at the PBE level of DFT.

Unit cell a=2.7057 b=5.4659 c=5.2700 alpha=90.00 beta=95.77 gamma=90.00
Closest atoms and distances in Å follow each position.
Space group P2/m (No. 10)
Unique sites:
K: 0.0000 0.0000 0.0000 x1  2 K 2.71, 2 Cd 2.84
Cd: 0.5000 0.0000 0.5000 x1  2 Cd 2.71, 2 K 2.84
Re: 0.3333 0.5000 0.7668 x2  3 Re 2.53-2.71

The calculation puts the calculated formation energy at 1219 meV per atom. The value obtained for the calculated density is 11.2 g/cm3. The total moment is 0.0 μB per formula unit.

2.
Computed, not measured: KCd2Re after structural relaxation at the PBE level of DFT.

Unit cell a=11.0956 b=2.8317 c=5.5976 alpha=90.00 beta=98.75 gamma=90.00
Closest atoms and distances in Å follow each position.
Space group Cm (No. 8)
Unique sites:
K: 0.0000 0.0000 0.0000 x2  2 K 2.83, 5 Cd 2.95-3.17
Cd: 0.0131 0.5000 0.5206 x2  2 Cd 2.83, 3 Re 2.95-3.04, 2 K 3.06
Cd: 0.2560 0.5000 0.1480 x2  2 Cd 2.83, 2 Re 2.93, 3 K 2.95-3.17
Re: 0.2489 0.0000 0.6038 x2  2 Re 2.83, 5 Cd 2.93-3.04

The energy relative to the lowest polymorph listed for this composition is 0.1753 eV/atom. The calculation puts the calculated formation energy at 839 meV per atom. The value obtained for the calculated density is 8.6 g/cm3. The total moment is 0.0 μB per formula unit.

3.
Computed, not measured: KCdRe2 after structural relaxation at the PBE level of DFT.

Unit cell a=3.8828 b=3.8828 c=10.3759 alpha=90.00 beta=90.00 gamma=90.00
Closest atoms and distances in Å follow each position.
Space group I4/mmm (No. 139)
Unique sites:
K: 0.0000 0.0000 0.0000 x2  4 Cd 2.75
Cd: 0.0000 0.0000 0.5000 x2  4 K 2.75
Re: 0.0000 0.5000 0.2500 x4  4 Re 2.75

The calculation puts the calculated formation energy at 1524 meV per atom. The value obtained for the calculated density is 11.1 g/cm3. The total moment is 0.0 μB per formula unit.

4.
Computed, not measured: KCdRe2 after structural relaxation at the PBE level of DFT.

Unit cell a=2.6111 b=5.4882 c=5.8233 alpha=90.00 beta=90.00 gamma=90.00
Closest atoms and distances in Å follow each position.
Space group Pmmm (No. 47)
Unique sites:
K: 0.0000 0.0000 0.0000 x1  2 K 2.61, 2 Cd 2.91
Cd: 0.0000 0.0000 0.5000 x1  2 Cd 2.61, 2 K 2.91
Re: 0.5000 0.5000 0.2086 x2  3 Re 2.43-2.61

The calculation puts the calculated formation energy at 1327 meV per atom. The value obtained for the calculated density is 10.4 g/cm3. The total moment is 0.0 μB per formula unit.

5.
Computed, not measured: KCd2Re after structural relaxation at the PBE level of DFT.

Unit cell a=2.7458 b=4.9672 c=16.2696 alpha=90.00 beta=90.00 gamma=90.00
Closest atoms and distances in Å follow each position.
Space group Imm2 (No. 44)
Unique sites:
K: 0.0000 0.0000 0.0000 x2  2 K 2.75
Cd: 0.0000 0.0000 0.3496 x2  2 Cd 2.75, 2 Re 2.81
Cd: 0.0000 0.5000 0.1801 x2  2 Cd 2.75, 4 Re 2.85
Re: 0.0000 0.5000 0.6987 x2  2 Re 2.75, 6 Cd 2.81-2.85

The energy relative to the lowest polymorph listed for this composition is 0.0392 eV/atom. The calculation puts the calculated formation energy at 703 meV per atom. The value obtained for the calculated density is 6.7 g/cm3. The total moment is 0.4 μB per formula unit.

6.
Computed, not measured: K4CdRe after structural relaxation at the PBE level of DFT.

Unit cell a=10.2427 b=10.2427 c=10.2427 alpha=90.00 beta=90.00 gamma=90.00
Closest atoms and distances in Å follow each position.
Space group F-43m (No. 216)
Unique sites:
K: 0.1246 0.1246 0.1246 x16  6 K 3.61-3.63
Cd: 0.0000 0.0000 0.5000 x4  12 K 4.25, 4 Re 4.44
Re: 0.2500 0.2500 0.7500 x4  12 K 4.25, 4 Cd 4.44

The calculation puts the calculated formation energy at 1239 meV per atom. The value obtained for the calculated density is 2.8 g/cm3. The total moment is 3.7 μB per formula unit.

7.
Computed, not measured: KCdRe3 after structural relaxation at the PBE level of DFT.

Unit cell a=4.6035 b=4.6035 c=4.6035 alpha=90.00 beta=90.00 gamma=90.00
Closest atoms and distances in Å follow each position.
Space group Pm-3m (No. 221)
Unique sites:
K: 0.0000 0.0000 0.0000 x1  6 Re 2.30
Cd: 0.5000 0.5000 0.5000 x1  12 Re 3.26
Re: 0.0000 0.0000 0.5000 x3  2 K 2.30

The energy relative to the lowest polymorph listed for this composition is 0.5707 eV/atom. The calculation puts the calculated formation energy at 3720 meV per atom. The value obtained for the calculated density is 12.1 g/cm3. The total moment is 2.1 μB per formula unit.

8.
Computed, not measured: K3CdRe after structural relaxation at the PBE level of DFT.

Unit cell a=6.4110 b=6.4110 c=6.4110 alpha=90.00 beta=90.00 gamma=90.00
Closest atoms and distances in Å follow each position.
Space group Pm-3m (No. 221)
Unique sites:
K: 0.0000 0.0000 0.5000 x3  2 Re 3.21
Cd: 0.5000 0.5000 0.5000 x1  12 K 4.53
Re: 0.0000 0.0000 0.0000 x1  6 K 3.21

The energy relative to the lowest polymorph listed for this composition is 0.0000 eV/atom. The calculation puts the calculated formation energy at 1368 meV per atom. The value obtained for the calculated density is 2.6 g/cm3. The total moment is 2.6 μB per formula unit.

9.
Computed, not measured: KCdRe after structural relaxation at the PBE level of DFT.

Unit cell a=2.8495 b=6.7756 c=9.0389 alpha=91.40 beta=94.35 gamma=99.25
Closest atoms and distances in Å follow each position.
Space group P1 (No. 1)
Unique sites:
K: 0.0000 0.0000 0.0000 x1  2 K 2.85
K: 0.3640 0.5157 0.3740 x1  2 K 2.85
Cd: 0.6353 0.2552 0.6825 x1  4 Re 2.84-2.98, 2 Cd 2.85
Cd: 0.7754 0.4967 0.0024 x1  2 Cd 2.85, 2 Re 2.88-2.91
Re: 0.0019 0.8907 0.6132 x1  1 Re 2.33
Re: 0.2511 0.6297 0.7445 x1  1 Re 2.33

The energy relative to the lowest polymorph listed for this composition is 0.0367 eV/atom. The calculation puts the calculated formation energy at 702 meV per atom. The value obtained for the calculated density is 6.5 g/cm3. The total moment is 0.0 μB per formula unit.

10.
Computed, not measured: KCd2Re after structural relaxation at the PBE level of DFT.

Unit cell a=9.6042 b=2.7768 c=7.2627 alpha=90.00 beta=93.75 gamma=90.00
Closest atoms and distances in Å follow each position.
Space group C2/m (No. 12)
Unique sites:
K: 0.0000 0.0000 0.0000 x2  2 K 2.78
Cd: 0.2397 0.0000 0.6833 x4  4 Cd 2.78-3.02, 3 Re 2.91-2.93
Re: 0.0000 0.5000 0.5000 x2  2 Re 2.78, 6 Cd 2.91-2.93

The energy relative to the lowest polymorph listed for this composition is 0.0912 eV/atom. The calculation puts the calculated formation energy at 755 meV per atom. The value obtained for the calculated density is 7.7 g/cm3. The total moment is 0.7 μB per formula unit.

11.
Computed, not measured: KCdRe2 after structural relaxation at the PBE level of DFT.

Unit cell a=2.8265 b=2.8265 c=32.7768 alpha=90.00 beta=90.00 gamma=120.00
Closest atoms and distances in Å follow each position.
Space group R-3m (No. 166, hexagonal axes)
Unique sites:
K: 0.0000 0.0000 0.0000 x3  6 K 2.83
Cd: 0.0000 0.0000 0.5000 x3  6 Cd 2.83, 6 Re 2.95
Re: 0.0000 0.0000 0.2416 x6  6 Re 2.83, 3 Cd 2.95

The calculation puts the calculated formation energy at 1088 meV per atom. The value obtained for the calculated density is 11.5 g/cm3. The total moment is 0.0 μB per formula unit.

12.
Computed, not measured: KCdRe after structural relaxation at the PBE level of DFT.

Unit cell a=2.7711 b=6.5489 c=8.9162 alpha=86.65 beta=87.05 gamma=89.09
Closest atoms and distances in Å follow each position.
Space group P-1 (No. 2)
Unique sites:
K: 0.0051 0.1190 0.2869 x2  2 K 2.77
Cd: 0.2228 0.6067 0.1221 x2  4 Cd 2.77-3.00, 2 Re 2.83-2.93
Re: 0.3602 0.3841 0.5949 x2  1 Re 2.32

The energy relative to the lowest polymorph listed for this composition is 0.0539 eV/atom. The calculation puts the calculated formation energy at 719 meV per atom. The value obtained for the calculated density is 7.0 g/cm3. The total moment is 0.0 μB per formula unit.

13.
Computed, not measured: KCd2Re after structural relaxation at the PBE level of DFT.

Unit cell a=2.8996 b=2.8996 c=10.3991 alpha=90.00 beta=90.00 gamma=90.00
Closest atoms and distances in Å follow each position.
Space group P4/mmm (No. 123)
Unique sites:
K: 0.0000 0.0000 0.0000 x1  4 K 2.90
Cd: 0.5000 0.5000 0.2897 x2  4 Cd 2.90, 4 Re 3.00
Re: 0.0000 0.0000 0.5000 x1  4 Re 2.90, 8 Cd 3.00

The energy relative to the lowest polymorph listed for this composition is 0.0217 eV/atom. The calculation puts the calculated formation energy at 685 meV per atom. The value obtained for the calculated density is 8.5 g/cm3. The total moment is 0.1 μB per formula unit.

14.
Computed, not measured: KCd2Re after structural relaxation at the PBE level of DFT.

Unit cell a=2.8509 b=2.8509 c=10.7232 alpha=90.00 beta=90.00 gamma=90.00
Closest atoms and distances in Å follow each position.
Space group P4mm (No. 99)
Unique sites:
K: 0.0000 0.0000 0.0000 x1  4 K 2.85
Cd: 0.0000 0.0000 0.4678 x1  4 Cd 2.85, 4 Re 2.98
Cd: 0.5000 0.5000 0.7128 x1  4 Cd 2.85
Re: 0.5000 0.5000 0.2625 x1  4 Re 2.85, 4 Cd 2.98

The energy relative to the lowest polymorph listed for this composition is 0.0819 eV/atom. The calculation puts the calculated formation energy at 745 meV per atom. The value obtained for the calculated density is 8.6 g/cm3. The total moment is 0.0 μB per formula unit.

15.
Computed, not measured: KCdRe2 after structural relaxation at the PBE level of DFT.

Unit cell a=3.1365 b=4.4605 c=10.8423 alpha=90.00 beta=90.00 gamma=90.00
Closest atoms and distances in Å follow each position.
Space group Cmmm (No. 65)
Unique sites:
K: 0.0000 0.0000 0.0000 x2  4 K 2.73
Cd: 0.0000 0.0000 0.5000 x2  4 Cd 2.73, 4 Re 2.90
Re: 0.0000 0.5000 0.2753 x4  4 Re 2.73, 2 Cd 2.90

The calculation puts the calculated formation energy at 1067 meV per atom. The value obtained for the calculated density is 11.5 g/cm3. The total moment is 0.0 μB per formula unit.